This record from the Alexandria database describes a crystal of ZrRu3C relaxed with PBEsol. The functional is meta-GGA SCAN.

## Properties
offset from the most stable computed form: 0 meV/atom
total magnetic moment: 0.000 μB/cell
formation energy from the elements: -393 meV per atom
crystal system: cubic

Lattice parameters (Å, degrees): 4.0487 4.0487 4.0487 90.00 90.00 90.00
Fractional coordinates of all 5 atoms:
Ru 0.5000 0.5000 0.0000
Ru 0.5000 0.0000 0.5000
Ru 0.0000 0.5000 0.5000
C 0.5000 0.5000 0.5000
Zr 0.0000 0.0000 0.0000